1.
This record from Alexandria describes crystalline Er12AgPd6 at its relaxed geometry. The functional is GGA-PBE.

Cell: 8.315 8.315 8.315 Å, 102.16 102.16 102.16°
Element x y z (fractional)
Er: 0.063 0.671 0.927
Er: 0.073 0.937 0.329
Er: 0.172 0.414 0.563
Er: 0.329 0.073 0.937
Er: 0.414 0.563 0.172
Er: 0.437 0.828 0.586
Er: 0.563 0.172 0.414
Er: 0.586 0.437 0.828
Er: 0.671 0.927 0.063
Er: 0.828 0.586 0.437
Er: 0.927 0.063 0.671
Er: 0.937 0.329 0.073
Ag: 0.000 0.000 0.000
Pd: 0.141 0.620 0.314
Pd: 0.314 0.141 0.620
Pd: 0.380 0.686 0.859
Pd: 0.620 0.314 0.141
Pd: 0.686 0.859 0.380
Pd: 0.859 0.380 0.686

Summary:
V	529.57	Å³ per cell
space-group type	R-3 (148)
energy relative to the elements	-0.45	eV per atom
density of states at the Fermi level	18.8	states/eV per cell
spin magnetization	0.00	Bohr magnetons per cell

=====

2.
This record from Alexandria describes crystalline Er2AgPd2 at its relaxed geometry. The functional is GGA-PBE.

Cell: 7.566 7.566 3.714 Å, 90.00 90.00 90.00°
Element x y z (fractional)
Er: 0.170 0.330 0.000
Er: 0.330 0.830 0.000
Er: 0.670 0.170 0.000
Er: 0.830 0.670 0.000
Ag: 0.000 0.000 0.500
Ag: 0.500 0.500 0.500
Pd: 0.131 0.631 0.500
Pd: 0.369 0.131 0.500
Pd: 0.631 0.869 0.500
Pd: 0.869 0.369 0.500

Summary:
V	212.58	Å³ per cell
space-group type	P4/mbm (127)
energy relative to the elements	-0.77	eV per atom
density of states at the Fermi level	4.6	states/eV per cell
spin magnetization	0.00	Bohr magnetons per cell

=====

3.
This record from Alexandria describes crystalline Er2Ag6Pd at its relaxed geometry. The functional is GGA-PBE.

Cell: 7.057 7.057 6.982 Å, 110.76 110.76 33.09°
Element x y z (fractional)
Er: 0.057 0.057 0.309
Er: 0.943 0.943 0.691
Ag: 0.170 0.170 0.999
Ag: 0.270 0.270 0.673
Ag: 0.391 0.391 0.332
Ag: 0.609 0.609 0.668
Ag: 0.730 0.730 0.327
Ag: 0.830 0.830 0.001
Pd: 0.500 0.500 0.000

Summary:
V	176.37	Å³ per cell
space-group type	C2/m (12)
energy relative to the elements	-0.29	eV per atom
density of states at the Fermi level	3.7	states/eV per cell
spin magnetization	0.00	Bohr magnetons per cell

=====

4.
This record from Alexandria describes crystalline Er2Ag2Pd3 at its relaxed geometry. The functional is GGA-PBE.

Cell: 5.177 5.177 6.777 Å, 96.41 96.41 47.54°
Element x y z (fractional)
Er: 0.080 0.080 0.253
Er: 0.920 0.920 0.747
Ag: 0.358 0.358 0.075
Ag: 0.642 0.642 0.925
Pd: 0.214 0.214 0.647
Pd: 0.500 0.500 0.500
Pd: 0.786 0.786 0.353

Summary:
V	133.00	Å³ per cell
space-group type	C2/m (12)
energy relative to the elements	-0.65	eV per atom
distance to the lowest polymorph of the same formula	0.0	meV per atom
density of states at the Fermi level	2.8	states/eV per cell
spin magnetization	0.00	Bohr magnetons per cell

=====

5.
This record from Alexandria describes crystalline Er2Ag2Pd5 at its relaxed geometry. The functional is GGA-PBE.

Cell: 9.712 9.712 9.712 Å, 55.09 138.84 145.02°
Element x y z (fractional)
Er: 0.000 0.000 0.000
Er: 0.000 0.500 0.500
Er: 0.052 0.251 0.301
Er: 0.950 0.751 0.699
Ag: 0.440 0.570 0.010
Ag: 0.440 0.930 0.370
Ag: 0.560 0.070 0.630
Ag: 0.560 0.430 0.990
Pd: 0.000 0.128 0.627
Pd: 0.000 0.421 0.920
Pd: 0.000 0.580 0.079
Pd: 0.000 0.873 0.373
Pd: 0.462 0.250 0.712
Pd: 0.501 0.080 0.080
Pd: 0.501 0.373 0.373
Pd: 0.501 0.628 0.627
Pd: 0.501 0.921 0.921
Pd: 0.539 0.750 0.288

Summary:
V	343.22	Å³ per cell
space-group type	Ima2 (46)
energy relative to the elements	-0.48	eV per atom
density of states at the Fermi level	5.9	states/eV per cell
spin magnetization	0.00	Bohr magnetons per cell

=====

6.
This record from Alexandria describes crystalline ErAgPd at its relaxed geometry. The functional is GGA-PBE.

Cell: 4.617 4.617 4.617 Å, 60.00 60.00 60.00°
Element x y z (fractional)
Er: 0.000 0.000 0.000
Ag: 0.500 0.500 0.500
Pd: 0.750 0.750 0.750

Summary:
V	69.61	Å³ per cell
space-group type	F-43m (216)
energy relative to the elements	-0.48	eV per atom
distance to the lowest polymorph of the same formula	151.4	meV per atom
density of states at the Fermi level	1.1	states/eV per cell
spin magnetization	0.00	Bohr magnetons per cell

=====

Which value of energy relative to the elements does entry 6 give? -0.48 eV per atom

=====

spin magnetization of number 5 (Er2Ag2Pd5)? 0.00 Bohr magnetons per cell

=====

What is the formula in the fifth record? Er2Ag2Pd5